[1]
{
  "formula": "Li4TbY3S8",
  "functional": "GGA-PBE",
  "state": "relaxed",
  "sg": "R-3m",
  "formation_energy_uncorrected_mev_per_atom": -1850,
  "dft_energy_ev_per_atom": -5.89,
  "dos_at_fermi_per_ev_atom": 0.00,
  "lattice_angstrom": [[3.920, 2.263, 6.184], [-3.920, 2.263, 6.184], [0.000, -4.527, 6.184]],
  "species": ["Li", "Li", "Li", "Li", "Tb", "Y", "Y", "Y", "S", "S", "S", "S", "S", "S", "S", "S"],
  "fractional_positions": [[0.000, 0.000, 0.000], [0.000, 0.500, 0.500], [0.500, 0.000, 0.500], [0.500, 0.500, 0.000], [0.500, 0.500, 0.500], [0.000, 0.000, 0.500], [0.000, 0.500, 0.000], [0.500, 0.000, 0.000], [0.249, 0.249, 0.750], [0.249, 0.750, 0.249], [0.250, 0.250, 0.250], [0.250, 0.751, 0.751], [0.750, 0.249, 0.249], [0.750, 0.750, 0.750], [0.751, 0.250, 0.751], [0.751, 0.751, 0.250]]
}

---

[2]
{
  "formula": "LiTb2YS4",
  "functional": "GGA-PBE",
  "state": "relaxed",
  "sg": "P2/m",
  "formation_energy_uncorrected_mev_per_atom": -1942,
  "dft_energy_ev_per_atom": -6.21,
  "dos_at_fermi_per_ev_atom": 0.32,
  "lattice_angstrom": [[6.745, 0.000, 0.000], [0.000, 3.895, 0.000], [-2.241, 0.000, 6.363]],
  "species": ["Li", "Tb", "Tb", "Y", "S", "S", "S", "S"],
  "fractional_positions": [[0.000, 0.000, 0.000], [0.500, 0.000, 0.500], [0.500, 0.500, 0.000], [0.000, 0.500, 0.500], [0.244, 0.500, 0.245], [0.245, 0.000, 0.754], [0.755, 0.000, 0.246], [0.756, 0.500, 0.755]]
}

---

Repeat the second record exactly.
{
  "formula": "LiTb2YS4",
  "functional": "GGA-PBE",
  "state": "relaxed",
  "sg": "P2/m",
  "formation_energy_uncorrected_mev_per_atom": -1942,
  "dft_energy_ev_per_atom": -6.21,
  "dos_at_fermi_per_ev_atom": 0.32,
  "lattice_angstrom": [[6.745, 0.000, 0.000], [0.000, 3.895, 0.000], [-2.241, 0.000, 6.363]],
  "species": ["Li", "Tb", "Tb", "Y", "S", "S", "S", "S"],
  "fractional_positions": [[0.000, 0.000, 0.000], [0.500, 0.000, 0.500], [0.500, 0.500, 0.000], [0.000, 0.500, 0.500], [0.244, 0.500, 0.245], [0.245, 0.000, 0.754], [0.755, 0.000, 0.246], [0.756, 0.500, 0.755]]
}